First-principles (GGA+U) data for a relaxed structure of Tl3NiSe2O8, as listed in Alexandria.

Cell: 5.8692 5.8692 7.9575 Å, 90.00 90.00 120.00°
Last column: nearest neighbours and their distance in Å.
Space group P-3m1 (No. 164)
Asymmetric unit:
Tl 0.0000 0.0000 0.0000 [1 per cell]  12 O 3.19-3.43
Tl 0.3333 0.6667 0.7328 [2 per cell]  1 O 2.65
Ni 0.0000 0.0000 0.5000 [1 per cell]  6 O 2.14
Se 0.3333 0.6667 0.2777 [2 per cell]  4 O 1.69-1.75
O 0.1680 0.3360 0.3381 [6 per cell]  1 Se 1.75
O 0.3333 0.6667 0.0655 [2 per cell]  1 Se 1.69

N(E_F) = 3.859 states/eV/cell
E_tot = -4.69 eV per atom